Entry from Alexandria via LeMat-Bulk: YIn2Mo after structural relaxation (PBEsol).

```
4
Lattice="3.683 0.000 0.000 0.000 3.683 0.000 0.000 0.000 6.367" Properties=species:S:1:pos:R:3 pbc="T T T"
Y 0.000 0.000 0.000
In 0.000 0.000 3.447
In 1.842 1.842 1.874
Mo 1.842 1.842 4.831
```

Calculated values
The calculation puts the energy of formation from the pure elements at 0.17 eV/atom. For the density, the calculation gives 7.97 Mg/m³. The density of states at the Fermi level comes out at 0.94 states/eV per atom. Its space-group type is P4mm (99). The spin magnetization is 0.00 μB per formula unit.